The following is a PBE-GGA calculation of a relaxed structure of Ti6NiRh12, from Alexandria.

Properties
Total energy = -7.952 eV per atom

CIF file:
```
data_Ti6NiRh12
_chemical_formula_sum 'Ti18 Ni3 Rh36'
_space_group_name_H-M_alt 'R -3'
_space_group_IT_number 148
_space_group_name_Hall '-R 3'
_cell_length_a 9.2790
_cell_length_b 9.2790
_cell_length_c 11.4012
_cell_angle_alpha 90.00
_cell_angle_beta 90.00
_cell_angle_gamma 120.00
loop_
_atom_site_label
_atom_site_type_symbol
_atom_site_fract_x
_atom_site_fract_y
_atom_site_fract_z
Ti1 Ti 0.0192 0.5989 0.2181
Ni1 Ni 0.0000 0.0000 0.5000
Rh1 Rh 0.0248 0.8436 0.3284
Rh2 Rh 0.0461 0.2002 0.9063
```

The following is a PBE-GGA calculation of a relaxed structure of PaZn2Si, from Alexandria.

Properties
Formation energy without anion corrections = 0.09 eV/atom
ΔE to the lowest computed polymorph = 0.261 eV per atom

CIF file:
```
data_PaZn2Si
_chemical_formula_sum 'Pa4 Zn8 Si4'
_space_group_name_H-M_alt 'F m -3 m'
_space_group_IT_number 225
_space_group_name_Hall '-F 4 2 3'
_cell_length_a 6.611
_cell_length_b 6.611
_cell_length_c 6.611
_cell_angle_alpha 90.00
_cell_angle_beta 90.00
_cell_angle_gamma 90.00
loop_
_atom_site_label
_atom_site_type_symbol
_atom_site_fract_x
_atom_site_fract_y
_atom_site_fract_z
Pa1 Pa 0.000 0.000 0.000
Zn1 Zn 0.250 0.250 0.250
Si1 Si 0.000 0.000 0.500
```

The following is a PBE-GGA calculation of a relaxed structure of NaTlGeSe3, from Alexandria.

Properties
Formation energy without anion corrections = -0.44 eV/atom

CIF file:
```
data_NaTlGeSe3
_chemical_formula_sum 'Na4 Tl4 Ge4 Se12'
_space_group_name_H-M_alt 'C 1 2/m 1'
_space_group_IT_number 12
_space_group_name_Hall '-C 2y'
_cell_length_a 13.628
_cell_length_b 5.456
_cell_length_c 8.867
_cell_angle_alpha 90.00
_cell_angle_beta 94.63
_cell_angle_gamma 90.00
loop_
_atom_site_label
_atom_site_type_symbol
_atom_site_fract_x
_atom_site_fract_y
_atom_site_fract_z
Na1 Na 0.223 0.000 0.104
Tl1 Tl 0.141 0.000 0.484
Ge1 Ge 0.011 0.500 0.149
Se1 Se 0.032 0.000 0.880
Se2 Se 0.104 0.500 0.663
Se3 Se 0.183 0.500 0.214
```